ErTm2Bi | GGA-PBE | relaxed

Unit cell a=3.5067 b=3.5067 c=35.5625 alpha=90.00 beta=90.00 gamma=120.00
Space group R-3m (No. 166, hexagonal axes)
Asymmetric unit:
Er: 0.0000 0.0000 0.0000 x3
Tm: 0.0000 0.0000 0.4119 x6
Bi: 0.0000 0.0000 0.5000 x3

Energy above the most stable polymorph in this dataset (meV per atom): 430
ΔE_f (eV per atom): 0.0376



Mg6BiSb | GGA-PBE | relaxed

Unit cell a=5.305 b=6.833 c=10.806 alpha=90.00 beta=90.00 gamma=90.00
Space group Amm2 (No. 38)
Asymmetric unit:
Mg: 0.000 0.000 0.000 x2
Mg: 0.000 0.000 0.497 x2
Mg: 0.000 0.242 0.754 x4
Mg: 0.500 0.246 0.925 x4
Bi: 0.500 0.000 0.175 x2
Sb: 0.500 0.000 0.668 x2

E_form (uncorrected) (eV per formula unit): -0.5
Energy above the most stable polymorph in this dataset (meV per atom): 34



ZnTc2GeRh | GGA-PBE | relaxed

Unit cell a=4.572 b=4.572 c=4.348 alpha=90.00 beta=90.00 gamma=90.00
Space group P4/mmm (No. 123)
Asymmetric unit:
Zn: 0.000 0.000 0.000 x1
Tc: 0.000 0.500 0.000 x2
Ge: 0.000 0.000 0.500 x1
Rh: 0.500 0.500 0.500 x1

ΔE_f (eV per atom): 1.5675



KPrDy4S8 | GGA-PBE | relaxed

Unit cell a=8.2148 b=8.2148 c=20.6095 alpha=90.00 beta=90.00 gamma=120.00
Space group R3m (No. 160, hexagonal axes)
Asymmetric unit:
K: 0.0000 0.0000 0.0000 x3
Pr: 0.0000 0.0000 0.6331 x3
Dy: 0.0000 0.0000 0.2546 x3
Dy: 0.1725 0.3449 0.4607 x9
S: 0.0000 0.0000 0.3860 x3
S: 0.0000 0.0000 0.8611 x3
S: 0.0378 0.5189 0.3881 x9
S: 0.1737 0.3473 0.2075 x9

E_form (uncorrected) (eV per formula unit): -26.9



LaY6Er3Th2 | GGA-PBE | relaxed

Unit cell a=6.209 b=10.745 c=11.771 alpha=90.00 beta=100.14 gamma=90.00
Space group C2/m (No. 12)
Asymmetric unit:
La: 0.000 0.000 0.000 x2
Y: 0.246 0.500 0.250 x4
Y: 0.247 0.331 0.750 x8
Er: 0.000 0.167 0.500 x4
Er: 0.000 0.500 0.500 x2
Th: 0.000 0.333 0.000 x4

ΔE_f (eV per atom): 0.0354



DySc2TaN4 | GGA-PBE | relaxed

Unit cell a=5.576 b=3.223 c=5.634 alpha=90.00 beta=109.21 gamma=90.00
Space group P2/m (No. 10)
Asymmetric unit:
Dy: 0.000 0.000 0.000 x1
Sc: 0.500 0.000 0.500 x1
Sc: 0.500 0.500 0.000 x1
Ta: 0.000 0.500 0.500 x1
N: 0.246 0.000 0.735 x2
N: 0.253 0.500 0.271 x2

E_form (uncorrected) (eV per formula unit): -13.2



SrSbAs2Br | GGA-PBE | relaxed

Unit cell a=5.301 b=5.301 c=5.701 alpha=90.00 beta=90.00 gamma=90.00
Space group P4/mmm (No. 123)
Asymmetric unit:
Sr: 0.000 0.000 0.000 x1
Sb: 0.500 0.500 0.500 x1
As: 0.000 0.500 0.500 x2
Br: 0.500 0.500 0.000 x1

E_form (uncorrected) (eV per formula unit): -1.1
Energy above the most stable polymorph in this dataset (meV per atom): 0



Zn3C | GGA-PBE | relaxed

Unit cell a=5.008 b=7.223 c=2.849 alpha=90.00 beta=90.00 gamma=90.00
Space group Cmmm (No. 65)
Asymmetric unit:
Zn: 0.000 0.000 0.000 x2
Zn: 0.250 0.250 0.500 x4
C: 0.000 0.500 0.000 x2

ΔE_f (eV per atom): 1.0646



Please write out number 2 again, unchanged.
Mg6BiSb | GGA-PBE | relaxed

Unit cell a=5.305 b=6.833 c=10.806 alpha=90.00 beta=90.00 gamma=90.00
Space group Amm2 (No. 38)
Asymmetric unit:
Mg: 0.000 0.000 0.000 x2
Mg: 0.000 0.000 0.497 x2
Mg: 0.000 0.242 0.754 x4
Mg: 0.500 0.246 0.925 x4
Bi: 0.500 0.000 0.175 x2
Sb: 0.500 0.000 0.668 x2

E_form (uncorrected) (eV per formula unit): -0.5
Energy above the most stable polymorph in this dataset (meV per atom): 34